Ag7Pb6 | meta-GGA SCAN | PBEsol geometry

Cell lengths 5.6582, 5.6582, 10.9513 Å; angles 75.03, 75.03, 60.00 degrees
Last column: nearest neighbours and their distance in Å.
Element x y z (fractional)
Pb 0.3326 0.3326 0.0022  9 Pb 3.27-3.65, 6 Ag 3.30-3.34
Pb 0.6674 0.6674 0.9978  9 Pb 3.27-3.65, 6 Ag 3.30-3.34
Pb 0.1539 0.1539 0.5382  12 Ag 3.18-3.43, 4 Pb 3.23-3.36
Pb 0.9491 0.9491 0.1526  6 Ag 3.11, 2 Pb 3.19-3.23
Pb 0.0509 0.0509 0.8474  6 Ag 3.11, 2 Pb 3.19-3.23
Pb 0.8461 0.8461 0.4618  12 Ag 3.18-3.43, 4 Pb 3.23-3.36
Ag 0.4076 0.4076 0.2766  5 Ag 2.83-2.85, 2 Pb 3.11
Ag 0.9081 0.4076 0.2766  5 Ag 2.83-2.85, 2 Pb 3.11
Ag 0.5924 0.0919 0.7234  5 Ag 2.83-2.85, 2 Pb 3.11
Ag 0.4076 0.9081 0.2766  5 Ag 2.83-2.85, 2 Pb 3.11
Ag 0.5924 0.5924 0.7234  5 Ag 2.83-2.85, 2 Pb 3.11
Ag 0.0919 0.5924 0.7234  5 Ag 2.83-2.85, 2 Pb 3.11
Ag 0.5000 0.5000 0.5000  6 Ag 2.85

## Properties
Symmetry = R-3m, No. 166

=====

AgPb5 | meta-GGA SCAN | PBEsol geometry

Cell lengths 3.4988, 5.5791, 8.6736 Å; angles 90.00, 101.64, 90.00 degrees
Last column: nearest neighbours and their distance in Å.
Element x y z (fractional)
Pb 0.6587 0.0000 0.3175  2 Ag 3.14, 8 Pb 3.38-3.50
Pb 0.8859 0.5000 0.7717  10 Pb 3.24-3.50, 2 Ag 3.45
Pb 0.2178 0.5000 0.4356  12 Pb 3.35-3.61
Pb 0.5461 0.5000 0.0923  8 Pb 3.24-3.50, 4 Ag 3.37
Pb 0.3528 0.0000 0.7057  2 Ag 3.12, 4 Pb 3.34
Ag 0.0052 0.0000 0.0103  10 Pb 3.12-3.45

## Properties
Energy above the lowest structure with this stoichiometry = 52 meV per atom
Symmetry = Amm2, No. 38

=====

AgPb5 | meta-GGA SCAN | PBEsol geometry

Cell lengths 3.4721, 3.4721, 13.5538 Å; angles 90.00, 90.00, 90.00 degrees
Last column: nearest neighbours and their distance in Å.
Element x y z (fractional)
Ag 0.5000 0.5000 0.0000  8 Pb 3.07
Pb 0.5000 0.5000 0.6794  12 Pb 3.46-3.50
Pb 0.0000 0.0000 0.5000  12 Pb 3.46-3.47
Pb 0.0000 0.0000 0.1364  4 Ag 3.07
Pb 0.5000 0.5000 0.3206  12 Pb 3.46-3.50
Pb 0.0000 0.0000 0.8636  4 Ag 3.07

## Properties
Energy above the lowest structure with this stoichiometry = 0 meV per atom
Symmetry = P4/mmm, No. 123

=====

AgPb4 | meta-GGA SCAN | PBEsol geometry

Cell lengths 3.4232, 6.4947, 6.4947 Å; angles 86.02, 74.72, 74.72 degrees
Last column: nearest neighbours and their distance in Å.
Element x y z (fractional)
Pb 0.7749 0.6448 0.8055  2 Ag 3.06, 2 Pb 3.42
Pb 0.2251 0.3552 0.1945  2 Ag 3.06, 2 Pb 3.42
Pb 0.5804 0.1945 0.6448  2 Ag 3.06, 2 Pb 3.42
Pb 0.4196 0.8055 0.3552  2 Ag 3.06, 2 Pb 3.42
Ag 0.0000 0.0000 0.0000  8 Pb 3.06, 2 Ag 3.42

## Properties
Symmetry = I4/m, No. 87

=====

AgPb5 | meta-GGA SCAN | PBEsol geometry

Cell lengths 4.7778, 4.7342, 7.6454 Å; angles 90.00, 108.21, 90.00 degrees
Last column: nearest neighbours and their distance in Å.
Element x y z (fractional)
Pb 0.1593 0.0000 0.3187  10 Pb 3.31-3.56, 2 Ag 3.33
Pb 0.6605 0.5000 0.3210  2 Ag 3.32, 10 Pb 3.34-3.53
Pb 0.0000 0.5000 0.0000  8 Pb 3.31-3.34, 4 Ag 3.36
Pb 0.3395 0.5000 0.6790  2 Ag 3.32, 10 Pb 3.34-3.53
Pb 0.8407 0.0000 0.6813  10 Pb 3.31-3.56, 2 Ag 3.33
Ag 0.5000 0.0000 0.0000  12 Pb 3.32-3.36

## Properties
Energy above the lowest structure with this stoichiometry = 39 meV per atom
Symmetry = Cmmm, No. 65

=====

AgPb5 | meta-GGA SCAN | PBEsol geometry

Cell lengths 5.4361, 5.9238, 5.9238 Å; angles 120.00, 90.00, 90.00 degrees
Last column: nearest neighbours and their distance in Å.
Element x y z (fractional)
Pb 0.5000 0.6667 0.3333  9 Pb 3.38-3.42, 3 Ag 3.42
Pb 0.0000 0.6781 0.0000  10 Pb 3.30-3.48, 2 Ag 3.32
Pb 0.0000 0.0000 0.6781  10 Pb 3.30-3.48, 2 Ag 3.32
Pb 0.5000 0.3333 0.6667  9 Pb 3.38-3.42, 3 Ag 3.42
Pb 0.0000 0.3219 0.3219  10 Pb 3.30-3.48, 2 Ag 3.32
Ag 0.5000 0.0000 0.0000  12 Pb 3.32-3.42

## Properties
Energy above the lowest structure with this stoichiometry = 69 meV per atom
Symmetry = P-62m, No. 189

=====

Summary of DFT formation energy in eV/atom
0.08 0.09 0.04 0.07 0.08 0.11
(order as listed above)
Summary of VASP energy in eV for the cell shown
-673.232 -409.719 -410.033 -334.147 -409.798 -409.620
(order as listed above)
Summary of DOS at the Fermi energy in states/eV per atom
0.413 0.445 0.489 0.438 0.431 0.464
(order as listed above)